# 1
DFT (PBE) results for CdReSn2Mo after structural relaxation.

ΔE_f	0.914	eV/atom
symmetry	P4/mmm
total energy	-5.526	eV per atom
total magnetization	2.37	μB per cell

a = 5.2132 Å, b = 5.2132 Å, c = 4.9124 Å
α = 90.00°, β = 90.00°, γ = 90.00°
With the nearest neighbours (Å) after each atom.
Fractional coordinates of all 5 atoms:
Cd  0.0000  0.0000  0.0000  8 Sn 3.58, 4 Mo 3.69
Re  0.5000  0.5000  0.5000  2 Mo 2.46, 4 Sn 2.61
Sn  0.0000  0.5000  0.5000  2 Re 2.61
Sn  0.5000  0.0000  0.5000  2 Re 2.61
Mo  0.5000  0.5000  0.0000  2 Re 2.46

***

# 2
DFT (PBE) results for CrPd2Se after structural relaxation.

formation energy from raw total energies	0.3252	eV per atom
symmetry	I-42d
total energy	-5.548	eV per atom
total magnetization	0.36	μB per cell

a = 5.6212 Å, b = 5.6212 Å, c = 5.6212 Å
α = 102.23°, β = 102.23°, γ = 125.19°
With the nearest neighbours (Å) after each atom.
Fractional coordinates of all 8 atoms:
Cr  0.0000  0.0000  0.0000  4 Pd 2.58, 2 Se 2.59
Cr  0.7500  0.2500  0.5000  4 Pd 2.58, 2 Se 2.59
Pd  0.1262  0.6250  0.0012  2 Se 2.57, 2 Cr 2.58, 2 Pd 2.59
Pd  0.3750  0.3762  0.5012  2 Se 2.57, 2 Cr 2.58, 2 Pd 2.59
Pd  0.6238  0.1250  0.9988  2 Se 2.57, 2 Cr 2.58, 2 Pd 2.59
Pd  0.8750  0.8738  0.4988  2 Se 2.57, 2 Cr 2.58, 2 Pd 2.59
Se  0.2500  0.7500  0.5000  4 Pd 2.57, 2 Cr 2.59
Se  0.5000  0.5000  0.0000  4 Pd 2.57, 2 Cr 2.59

***

# 3
DFT (PBE) results for Ho4TmSc after structural relaxation.

ΔE_f	0.036	eV/atom
symmetry	C2/m
total energy	-4.816	eV per atom
total magnetization	0.00	μB per cell

a = 6.0112 Å, b = 6.0112 Å, c = 6.9490 Å
α = 106.75°, β = 106.75°, γ = 48.28°
With the nearest neighbours (Å) after each atom.
Fractional coordinates of all 6 atoms:
Ho  0.1642  0.1642  0.3304  7 Ho 3.45-3.51, 2 Sc 3.46, 3 Tm 3.47-3.50
Ho  0.1670  0.1670  0.8350  7 Ho 3.45-3.50, 3 Sc 3.47, 2 Tm 3.48
Ho  0.8330  0.8330  0.1650  7 Ho 3.45-3.50, 3 Sc 3.47, 2 Tm 3.48
Ho  0.8358  0.8358  0.6696  7 Ho 3.45-3.51, 2 Sc 3.46, 3 Tm 3.47-3.50
Tm  0.5000  0.5000  0.5000  10 Ho 3.47-3.50, 2 Sc 3.47
Sc  0.5000  0.5000  0.0000  10 Ho 3.46-3.47, 2 Tm 3.47